# PBE-GGA TaP2Br, optimized geometry
# Energy relative to the elements, uncorrected = 0.589 eV per atom
# Total magnetization = 0.000 μB/atom
data_TaP2Br
_chemical_formula_sum 'Ta2 P4 Br2'
_symmetry_space_group_name_H-M 'C m m m'
_symmetry_Int_Tables_number 65
_symmetry_space_group_name_Hall '-C 2 2'
_cell_length_a 4.9970
_cell_length_b 8.8301
_cell_length_c 3.1833
_cell_angle_alpha 90.00
_cell_angle_beta 90.00
_cell_angle_gamma 90.00
loop_
_atom_site_label
_atom_site_type_symbol
_atom_site_fract_x
_atom_site_fract_y
_atom_site_fract_z
Ta1 Ta 0.0000 0.0000 0.0000
P1 P 0.2500 0.2500 0.5000
Br1 Br 0.0000 0.5000 0.0000


# PBE-GGA NaSr2P2O6, optimized geometry
# Energy relative to the elements, uncorrected = -2.299 eV per atom
# Total magnetization = 0.092 μB/atom
data_NaSr2P2O6
_chemical_formula_sum 'Na1 Sr2 P2 O6'
_symmetry_space_group_name_H-M 'P -3'
_symmetry_Int_Tables_number 147
_cell_length_a 5.9304
_cell_length_b 5.9304
_cell_length_c 6.3375
_cell_angle_alpha 90.00
_cell_angle_beta 90.00
_cell_angle_gamma 120.00
loop_
_symmetry_equiv_pos_as_xyz
'x,y,z'
'-x,-y,-z'
'-y,x-y,z'
'y,-x+y,-z'
'-x+y,-x,z'
'x-y,x,-z'
loop_
_atom_site_label
_atom_site_type_symbol
_atom_site_fract_x
_atom_site_fract_y
_atom_site_fract_z
Na1 Na 0.0000 0.0000 0.0000
Sr1 Sr 0.3333 0.6667 0.8083
P1 P 0.3333 0.6667 0.2902
O1 O 0.1164 0.3985 0.1947


# PBE-GGA LiNd2Al, optimized geometry
# E_form = 0.10 eV/atom
# Total magnetization = 0.000 μB/atom
data_LiNd2Al
_chemical_formula_sum 'Li3 Nd6 Al3'
_symmetry_space_group_name_H-M 'R -3 m'
_symmetry_Int_Tables_number 166
_symmetry_space_group_name_Hall '-R 3 2"'
_cell_length_a 3.5475
_cell_length_b 3.5475
_cell_length_c 34.1923
_cell_angle_alpha 90.00
_cell_angle_beta 90.00
_cell_angle_gamma 120.00
loop_
_atom_site_label
_atom_site_type_symbol
_atom_site_fract_x
_atom_site_fract_y
_atom_site_fract_z
Li1 Li 0.0000 0.0000 0.0000
Nd1 Nd 0.0000 0.0000 0.0991
Al1 Al 0.0000 0.0000 0.5000


Record order is preserved below.
VASP energy: -0.404, -0.471, -0.272 Ry per atom